This record from Alexandria via LeMat-Bulk describes a geometry-optimized VO2F structure. The functional is PBE+U.

a = 5.3047 Å, b = 5.3048 Å, c = 12.9637 Å
α = 89.99°, β = 89.99°, γ = 60.00°
Fractional coordinates of all 24 atoms:
V1 0.0000 0.0000 0.0000
V2 0.0121 0.8927 0.5002
V3 0.2623 0.3408 0.1670
V4 0.3697 0.2453 0.6667
V5 0.6153 0.6303 0.3333
V6 0.7105 0.6423 0.8335
O1 0.0010 0.4101 0.2542
O2 0.1107 0.6252 0.0873
O3 0.2044 0.6305 0.5870
O4 0.2059 0.0733 0.0845
O5 0.3353 0.8371 0.4175
O6 0.4423 0.9657 0.7510
O7 0.4593 0.4985 0.2523
O8 0.6576 0.0889 0.5858
O9 0.7808 0.8343 0.9203
O10 0.8693 0.2874 0.9189
O11 0.8785 0.7421 0.4203
O12 0.9943 0.5091 0.7534
F1 0.1101 0.1862 0.5841
F2 0.3195 0.7398 0.9179
F3 0.5350 0.4138 0.7530
F4 0.5566 0.9487 0.2507
F5 0.6650 0.1661 0.0858
F6 0.7833 0.2964 0.4197

Computed properties:
Energy (eV/atom): -6.810